No. 1
# MgBr3N, relaxed, DFT PBE
data_MgBr3N
_symmetry_space_group_name_H-M 'P 1'
_symmetry_Int_Tables_number 1
_symmetry_space_group_name_Hall 'P 1'
_cell_length_a 5.292
_cell_length_b 5.292
_cell_length_c 5.292
_cell_angle_alpha 90.00
_cell_angle_beta 90.00
_cell_angle_gamma 90.00
loop_
_atom_site_label
_atom_site_type_symbol
_atom_site_fract_x
_atom_site_fract_y
_atom_site_fract_z
_atom_site_occupancy
Mg1 Mg 0.000 0.000 0.000 1
Br1 Br 0.000 0.000 0.500 1
Br2 Br 0.000 0.500 0.000 1
Br3 Br 0.500 0.000 0.000 1
N1 N 0.500 0.500 0.500 1
# Crystal system: cubic
# Distance to the lowest polymorph of the same formula: 95 meV per atom


No. 2
# MgBr2N, relaxed, DFT PBE
data_MgBr2N
_symmetry_space_group_name_H-M 'P 1'
_symmetry_Int_Tables_number 1
_symmetry_space_group_name_Hall 'P 1'
_cell_length_a 4.991
_cell_length_b 4.991
_cell_length_c 14.803
_cell_angle_alpha 90.00
_cell_angle_beta 90.00
_cell_angle_gamma 90.00
loop_
_atom_site_label
_atom_site_type_symbol
_atom_site_fract_x
_atom_site_fract_y
_atom_site_fract_z
_atom_site_occupancy
Mg1 Mg 0.000 0.000 0.000 1
Mg2 Mg 0.000 0.500 0.250 1
Mg3 Mg 0.500 0.000 0.750 1
Mg4 Mg 0.500 0.500 0.500 1
Br1 Br 0.218 0.250 0.625 1
Br2 Br 0.250 0.718 0.875 1
Br3 Br 0.250 0.782 0.375 1
Br4 Br 0.282 0.250 0.125 1
Br5 Br 0.718 0.750 0.125 1
Br6 Br 0.750 0.218 0.375 1
Br7 Br 0.750 0.282 0.875 1
Br8 Br 0.782 0.750 0.625 1
N1 N 0.000 0.000 0.500 1
N2 N 0.000 0.500 0.750 1
N3 N 0.500 0.000 0.250 1
N4 N 0.500 0.500 0.000 1
# Crystal system: tetragonal
# Distance to the lowest polymorph of the same formula: 495 meV per atom


No. 3
# Mg3BrN, relaxed, DFT PBE
data_Mg3BrN
_symmetry_space_group_name_H-M 'P 1'
_symmetry_Int_Tables_number 1
_symmetry_space_group_name_Hall 'P 1'
_cell_length_a 4.522
_cell_length_b 4.522
_cell_length_c 4.522
_cell_angle_alpha 90.00
_cell_angle_beta 90.00
_cell_angle_gamma 90.00
loop_
_atom_site_label
_atom_site_type_symbol
_atom_site_fract_x
_atom_site_fract_y
_atom_site_fract_z
_atom_site_occupancy
Mg1 Mg 0.000 0.000 0.500 1
Mg2 Mg 0.000 0.500 0.000 1
Mg3 Mg 0.500 0.000 0.000 1
Br1 Br 0.500 0.500 0.500 1
N1 N 0.000 0.000 0.000 1
# Crystal system: cubic
# Distance to the lowest polymorph of the same formula: 0 meV per atom


No. 4
# MgBr3N, relaxed, DFT PBE
data_MgBr3N
_symmetry_space_group_name_H-M 'P 1'
_symmetry_Int_Tables_number 1
_symmetry_space_group_name_Hall 'P 1'
_cell_length_a 4.743
_cell_length_b 4.743
_cell_length_c 4.743
_cell_angle_alpha 90.00
_cell_angle_beta 90.00
_cell_angle_gamma 90.00
loop_
_atom_site_label
_atom_site_type_symbol
_atom_site_fract_x
_atom_site_fract_y
_atom_site_fract_z
_atom_site_occupancy
Mg1 Mg 0.000 0.000 0.000 1
Br1 Br 0.000 0.500 0.500 1
Br2 Br 0.500 0.000 0.500 1
Br3 Br 0.500 0.500 0.000 1
N1 N 0.500 0.500 0.500 1
# Crystal system: cubic
# Distance to the lowest polymorph of the same formula: 220 meV per atom


No. 5
# MgBr3N, relaxed, DFT PBE
data_MgBr3N
_symmetry_space_group_name_H-M 'P 1'
_symmetry_Int_Tables_number 1
_symmetry_space_group_name_Hall 'P 1'
_cell_length_a 5.979
_cell_length_b 5.980
_cell_length_c 9.998
_cell_angle_alpha 93.34
_cell_angle_beta 105.18
_cell_angle_gamma 104.79
loop_
_atom_site_label
_atom_site_type_symbol
_atom_site_fract_x
_atom_site_fract_y
_atom_site_fract_z
_atom_site_occupancy
Mg1 Mg 0.000 0.000 0.000 1
Mg2 Mg 0.367 0.635 0.000 1
Br1 Br 0.105 0.691 0.174 1
Br2 Br 0.263 0.944 0.826 1
Br3 Br 0.411 0.326 0.172 1
Br4 Br 0.629 0.637 0.828 1
Br5 Br 0.739 0.998 0.173 1
Br6 Br 0.956 0.310 0.828 1
N1 N 0.429 0.075 0.508 1
N2 N 0.936 0.556 0.495 1
# Crystal system: triclinic
# Distance to the lowest polymorph of the same formula: 0 meV per atom


No. 6
# Mg2BrN, relaxed, DFT PBE
data_Mg2BrN
_symmetry_space_group_name_H-M 'P 1'
_symmetry_Int_Tables_number 1
_symmetry_space_group_name_Hall 'P 1'
_cell_length_a 6.319
_cell_length_b 6.319
_cell_length_c 6.319
_cell_angle_alpha 90.00
_cell_angle_beta 90.00
_cell_angle_gamma 90.00
loop_
_atom_site_label
_atom_site_type_symbol
_atom_site_fract_x
_atom_site_fract_y
_atom_site_fract_z
_atom_site_occupancy
Mg1 Mg 0.250 0.250 0.250 1
Mg2 Mg 0.250 0.250 0.750 1
Mg3 Mg 0.250 0.750 0.250 1
Mg4 Mg 0.250 0.750 0.750 1
Mg5 Mg 0.750 0.250 0.250 1
Mg6 Mg 0.750 0.250 0.750 1
Mg7 Mg 0.750 0.750 0.250 1
Mg8 Mg 0.750 0.750 0.750 1
Br1 Br 0.000 0.000 0.000 1
Br2 Br 0.000 0.500 0.500 1
Br3 Br 0.500 0.000 0.500 1
Br4 Br 0.500 0.500 0.000 1
N1 N 0.000 0.000 0.500 1
N2 N 0.000 0.500 0.000 1
N3 N 0.500 0.000 0.000 1
N4 N 0.500 0.500 0.500 1
# Crystal system: cubic
# Distance to the lowest polymorph of the same formula: 1122 meV per atom


No. 7
# Mg3Br3N, relaxed, DFT PBE
data_Mg3Br3N
_symmetry_space_group_name_H-M 'P 1'
_symmetry_Int_Tables_number 1
_symmetry_space_group_name_Hall 'P 1'
_cell_length_a 8.956
_cell_length_b 8.956
_cell_length_c 8.956
_cell_angle_alpha 109.47
_cell_angle_beta 109.47
_cell_angle_gamma 109.47
loop_
_atom_site_label
_atom_site_type_symbol
_atom_site_fract_x
_atom_site_fract_y
_atom_site_fract_z
_atom_site_occupancy
Mg1 Mg 0.033 0.065 0.283 1
Mg2 Mg 0.033 0.467 0.750 1
Mg3 Mg 0.065 0.283 0.033 1
Mg4 Mg 0.217 0.283 0.750 1
Mg5 Mg 0.217 0.435 0.467 1
Mg6 Mg 0.283 0.033 0.065 1
Mg7 Mg 0.283 0.750 0.217 1
Mg8 Mg 0.435 0.467 0.217 1
Mg9 Mg 0.467 0.217 0.435 1
Mg10 Mg 0.467 0.750 0.033 1
Mg11 Mg 0.750 0.033 0.467 1
Mg12 Mg 0.750 0.217 0.283 1
Br1 Br 0.000 0.001 0.750 1
Br2 Br 0.000 0.500 0.250 1
Br3 Br 0.001 0.750 0.000 1
Br4 Br 0.250 0.000 0.500 1
Br5 Br 0.250 0.750 0.750 1
Br6 Br 0.499 0.500 0.750 1
Br7 Br 0.500 0.250 0.000 1
Br8 Br 0.500 0.750 0.499 1
Br9 Br 0.750 0.000 0.001 1
Br10 Br 0.750 0.250 0.750 1
Br11 Br 0.750 0.499 0.500 1
Br12 Br 0.750 0.750 0.250 1
N1 N 0.000 0.250 0.500 1
N2 N 0.250 0.250 0.250 1
N3 N 0.250 0.500 0.000 1
N4 N 0.500 0.000 0.250 1
# Crystal system: cubic


No. 8
# MgBr2N, relaxed, DFT PBE
data_MgBr2N
_symmetry_space_group_name_H-M 'P 1'
_symmetry_Int_Tables_number 1
_symmetry_space_group_name_Hall 'P 1'
_cell_length_a 6.972
_cell_length_b 6.972
_cell_length_c 6.972
_cell_angle_alpha 90.00
_cell_angle_beta 90.00
_cell_angle_gamma 90.00
loop_
_atom_site_label
_atom_site_type_symbol
_atom_site_fract_x
_atom_site_fract_y
_atom_site_fract_z
_atom_site_occupancy
Mg1 Mg 0.000 0.000 0.000 1
Mg2 Mg 0.000 0.500 0.500 1
Mg3 Mg 0.500 0.000 0.500 1
Mg4 Mg 0.500 0.500 0.000 1
Br1 Br 0.250 0.250 0.250 1
Br2 Br 0.250 0.250 0.750 1
Br3 Br 0.250 0.750 0.250 1
Br4 Br 0.250 0.750 0.750 1
Br5 Br 0.750 0.250 0.250 1
Br6 Br 0.750 0.250 0.750 1
Br7 Br 0.750 0.750 0.250 1
Br8 Br 0.750 0.750 0.750 1
N1 N 0.000 0.000 0.500 1
N2 N 0.000 0.500 0.000 1
N3 N 0.500 0.000 0.000 1
N4 N 0.500 0.500 0.500 1
# Crystal system: cubic
# Distance to the lowest polymorph of the same formula: 340 meV per atom


Results for formation energy (no corrections): 0.389; 0.675; -0.297; 0.513; 0.294; 0.176; -1.116; 0.520 (in eV/atom, following the order of the records).
Results for uncorrected energy: -2.599; -2.641; -3.254; -2.474; -2.694; -3.120; -3.706; -2.796 (in eV per atom, following the order of the records).
Results for DOS at the Fermi energy: 6.277; 0.902; 1.803; 1.395; 1.306; 0.030; 0.000; 0.000 (in states/eV/f.u., following the order of the records).